First-principles (PBE) data for SiPIr2 after structural relaxation, as listed in Alexandria.

Output
final energy = -7.47 eV per atom
polymorph energy (0 for the lowest one) = 0.033 eV/atom
crystal system = tetragonal

CIF file:
```
data_SiPIr2
_space_group_name_H-M_alt 'P 1'
_space_group_IT_number 1
_space_group_name_Hall 'P 1'
_cell_length_a 3.342
_cell_length_b 3.342
_cell_length_c 5.037
_cell_angle_alpha 90.00
_cell_angle_beta 90.00
_cell_angle_gamma 90.00
loop_
_atom_site_label
_atom_site_type_symbol
_atom_site_fract_x
_atom_site_fract_y
_atom_site_fract_z
Si1 Si 0.500 0.500 0.790
Ir1 Ir 0.000 0.000 0.939
Ir2 Ir 0.500 0.500 0.316
P1 P 0.000 0.000 0.454
```


First-principles (PBE) data for Na3U2PtS6 after structural relaxation, as listed in Alexandria.

Output
final energy = -5.87 eV per atom
crystal system = monoclinic

CIF file:
```
data_Na3U2PtS6
_space_group_name_H-M_alt 'P 1'
_space_group_IT_number 1
_space_group_name_Hall 'P 1'
_cell_length_a 6.778
_cell_length_b 6.778
_cell_length_c 7.064
_cell_angle_alpha 98.01
_cell_angle_beta 98.01
_cell_angle_gamma 122.72
loop_
_atom_site_label
_atom_site_type_symbol
_atom_site_fract_x
_atom_site_fract_y
_atom_site_fract_z
S1 S 0.926 0.567 0.764
S2 S 0.246 0.246 0.789
S3 S 0.074 0.433 0.236
S4 S 0.754 0.754 0.211
S5 S 0.567 0.926 0.764
S6 S 0.433 0.074 0.236
Pt1 Pt 0.000 0.000 0.000
Na1 Na 0.158 0.842 0.500
Na2 Na 0.500 0.500 0.500
Na3 Na 0.842 0.158 0.500
U1 U 0.664 0.336 0.000
U2 U 0.336 0.664 0.000
```


First-principles (PBE) data for YPt2Rh after structural relaxation, as listed in Alexandria.

Output
final energy = -7.15 eV per atom
polymorph energy (0 for the lowest one) = 0.148 eV/atom
crystal system = tetragonal

CIF file:
```
data_YPt2Rh
_space_group_name_H-M_alt 'P 1'
_space_group_IT_number 1
_space_group_name_Hall 'P 1'
_cell_length_a 5.040
_cell_length_b 5.040
_cell_length_c 5.040
_cell_angle_alpha 131.53
_cell_angle_beta 131.51
_cell_angle_gamma 70.99
loop_
_atom_site_label
_atom_site_type_symbol
_atom_site_fract_x
_atom_site_fract_y
_atom_site_fract_z
Pt1 Pt 0.250 0.750 0.500
Pt2 Pt 0.000 0.000 0.000
Rh1 Rh 0.500 0.500 0.000
Y1 Y 0.750 0.250 0.500
```


First-principles (PBE) data for TiMnB4 after structural relaxation, as listed in Alexandria.

Output
final energy = -7.89 eV per atom
crystal system = orthorhombic

CIF file:
```
data_TiMnB4
_space_group_name_H-M_alt 'P 1'
_space_group_IT_number 1
_space_group_name_Hall 'P 1'
_cell_length_a 3.151
_cell_length_b 5.701
_cell_length_c 10.993
_cell_angle_alpha 90.00
_cell_angle_beta 90.00
_cell_angle_gamma 90.00
loop_
_atom_site_label
_atom_site_type_symbol
_atom_site_fract_x
_atom_site_fract_y
_atom_site_fract_z
B1 B 0.500 0.383 0.050
B2 B 0.500 0.481 0.196
B3 B 0.500 0.794 0.187
B4 B 0.500 0.519 0.804
B5 B 0.500 0.132 0.969
B6 B 0.500 0.883 0.450
B7 B 0.500 0.368 0.469
B8 B 0.500 0.117 0.550
B9 B 0.500 0.868 0.031
B10 B 0.500 0.632 0.531
B11 B 0.500 0.019 0.696
B12 B 0.500 0.617 0.950
B13 B 0.500 0.706 0.687
B14 B 0.500 0.294 0.313
B15 B 0.500 0.981 0.304
B16 B 0.500 0.206 0.813
Mn1 Mn 0.000 0.133 0.412
Mn2 Mn 0.000 0.633 0.088
Mn3 Mn 0.000 0.367 0.912
Mn4 Mn 0.000 0.867 0.588
Ti1 Ti 0.000 0.368 0.647
Ti2 Ti 0.000 0.632 0.353
Ti3 Ti 0.000 0.132 0.147
Ti4 Ti 0.000 0.868 0.853
```


First-principles (PBE) data for MnAlNi14 after structural relaxation, as listed in Alexandria.

Output
final energy = -5.99 eV per atom
crystal system = tetragonal

CIF file:
```
data_MnAlNi14
_space_group_name_H-M_alt 'P 1'
_space_group_IT_number 1
_space_group_name_Hall 'P 1'
_cell_length_a 5.016
_cell_length_b 5.016
_cell_length_c 7.069
_cell_angle_alpha 90.00
_cell_angle_beta 90.00
_cell_angle_gamma 90.01
loop_
_atom_site_label
_atom_site_type_symbol
_atom_site_fract_x
_atom_site_fract_y
_atom_site_fract_z
Ni1 Ni 0.875 0.875 0.000
Ni2 Ni 0.375 0.875 0.000
Ni3 Ni 0.125 0.625 0.246
Ni4 Ni 0.625 0.625 0.246
Ni5 Ni 0.375 0.375 0.000
Ni6 Ni 0.625 0.625 0.754
Ni7 Ni 0.125 0.125 0.754
Ni8 Ni 0.875 0.375 0.500
Ni9 Ni 0.625 0.125 0.754
Ni10 Ni 0.625 0.125 0.246
Ni11 Ni 0.125 0.625 0.754
Ni12 Ni 0.375 0.875 0.500
Ni13 Ni 0.875 0.375 0.000
Ni14 Ni 0.125 0.125 0.246
Al1 Al 0.875 0.875 0.500
Mn1 Mn 0.375 0.375 0.500
```


First-principles (PBE) data for Er4Pt3Rh after structural relaxation, as listed in Alexandria.

Output
final energy = -6.65 eV per atom
crystal system = tetragonal

CIF file:
```
data_Er4Pt3Rh
_space_group_name_H-M_alt 'P 1'
_space_group_IT_number 1
_space_group_name_Hall 'P 1'
_cell_length_a 4.888
_cell_length_b 4.888
_cell_length_c 7.681
_cell_angle_alpha 108.53
_cell_angle_beta 108.53
_cell_angle_gamma 90.00
loop_
_atom_site_label
_atom_site_type_symbol
_atom_site_fract_x
_atom_site_fract_y
_atom_site_fract_z
Er1 Er 0.376 0.376 0.751
Er2 Er 0.124 0.124 0.249
Er3 Er 0.624 0.624 0.249
Er4 Er 0.876 0.876 0.751
Pt1 Pt 0.256 0.756 0.511
Pt2 Pt 0.000 0.500 0.000
Pt3 Pt 0.744 0.244 0.489
Rh1 Rh 0.500 0.000 0.000
```


First-principles (PBE) data for TlSeN4 after structural relaxation, as listed in Alexandria.

Output
final energy = -4.28 eV per atom
crystal system = orthorhombic

CIF file:
```
data_TlSeN4
_space_group_name_H-M_alt 'P 1'
_space_group_IT_number 1
_space_group_name_Hall 'P 1'
_cell_length_a 3.850
_cell_length_b 3.850
_cell_length_c 5.333
_cell_angle_alpha 90.00
_cell_angle_beta 90.00
_cell_angle_gamma 106.90
loop_
_atom_site_label
_atom_site_type_symbol
_atom_site_fract_x
_atom_site_fract_y
_atom_site_fract_z
N1 N 0.500 0.000 0.796
N2 N 0.000 0.500 0.796
N3 N 0.000 0.500 0.204
N4 N 0.500 0.000 0.204
Se1 Se 0.000 0.000 0.000
Tl1 Tl 0.500 0.500 0.500
```


First-principles (PBE) data for Li2AcInSe4 after structural relaxation, as listed in Alexandria.

Output
final energy = -4.24 eV per atom
crystal system = orthorhombic

CIF file:
```
data_Li2AcInSe4
_space_group_name_H-M_alt 'P 1'
_space_group_IT_number 1
_space_group_name_Hall 'P 1'
_cell_length_a 4.246
_cell_length_b 8.158
_cell_length_c 12.626
_cell_angle_alpha 90.00
_cell_angle_beta 90.00
_cell_angle_gamma 105.08
loop_
_atom_site_label
_atom_site_type_symbol
_atom_site_fract_x
_atom_site_fract_y
_atom_site_fract_z
Li1 Li 0.417 0.834 0.954
Li2 Li 0.583 0.166 0.046
Li3 Li 0.417 0.834 0.546
Li4 Li 0.583 0.166 0.454
Se1 Se 0.318 0.637 0.391
Se2 Se 0.000 0.000 0.000
Se3 Se 0.682 0.363 0.891
Se4 Se 0.318 0.637 0.109
Se5 Se 0.406 0.812 0.750
Se6 Se 0.682 0.363 0.609
Se7 Se 0.594 0.188 0.250
Se8 Se 0.000 0.000 0.500
In1 In 0.201 0.403 0.250
In2 In 0.799 0.597 0.750
Ac1 Ac 0.083 0.165 0.750
Ac2 Ac 0.917 0.835 0.250
```


First-principles (PBE) data for CdPtSeN2 after structural relaxation, as listed in Alexandria.

Output
final energy = -3.45 eV per atom
polymorph energy (0 for the lowest one) = 1.050 eV/atom
crystal system = tetragonal

CIF file:
```
data_CdPtSeN2
_space_group_name_H-M_alt 'P 1'
_space_group_IT_number 1
_space_group_name_Hall 'P 1'
_cell_length_a 4.080
_cell_length_b 4.080
_cell_length_c 5.920
_cell_angle_alpha 90.00
_cell_angle_beta 90.00
_cell_angle_gamma 90.00
loop_
_atom_site_label
_atom_site_type_symbol
_atom_site_fract_x
_atom_site_fract_y
_atom_site_fract_z
N1 N 0.500 0.000 0.000
N2 N 0.000 0.500 0.000
Pt1 Pt 0.500 0.500 0.500
Se1 Se 0.000 0.000 0.500
Cd1 Cd 0.000 0.000 0.000
```


First-principles (PBE) data for CrCd2Sb after structural relaxation, as listed in Alexandria.

Output
final energy = -3.48 eV per atom
crystal system = tetragonal

CIF file:
```
data_CrCd2Sb
_space_group_name_H-M_alt 'P 1'
_space_group_IT_number 1
_space_group_name_Hall 'P 1'
_cell_length_a 8.281
_cell_length_b 8.281
_cell_length_c 6.478
_cell_angle_alpha 50.28
_cell_angle_beta 50.28
_cell_angle_gamma 90.00
loop_
_atom_site_label
_atom_site_type_symbol
_atom_site_fract_x
_atom_site_fract_y
_atom_site_fract_z
Sb1 Sb 0.000 0.000 0.000
Sb2 Sb 0.750 0.250 0.500
Cd1 Cd 0.375 0.382 0.750
Cd2 Cd 0.132 0.625 0.250
Cd3 Cd 0.875 0.868 0.750
Cd4 Cd 0.618 0.125 0.250
Cr1 Cr 0.500 0.500 0.000
Cr2 Cr 0.250 0.750 0.500
```


First-principles (PBE) data for Na2LaScZn after structural relaxation, as listed in Alexandria.

Output
final energy = -2.54 eV per atom
crystal system = tetragonal

CIF file:
```
data_Na2LaScZn
_space_group_name_H-M_alt 'P 1'
_space_group_IT_number 1
_space_group_name_Hall 'P 1'
_cell_length_a 5.315
_cell_length_b 5.910
_cell_length_c 5.315
_cell_angle_alpha 90.00
_cell_angle_beta 90.00
_cell_angle_gamma 90.00
loop_
_atom_site_label
_atom_site_type_symbol
_atom_site_fract_x
_atom_site_fract_y
_atom_site_fract_z
La1 La 0.000 0.500 0.000
Na1 Na 0.000 0.000 0.500
Na2 Na 0.500 0.000 0.000
Zn1 Zn 0.000 0.000 0.000
Sc1 Sc 0.500 0.500 0.500
```


First-principles (PBE) data for Ac12LaGe6 after structural relaxation, as listed in Alexandria.

Output
final energy = -4.63 eV per atom
crystal system = trigonal

CIF file:
```
data_Ac12LaGe6
_space_group_name_H-M_alt 'P 1'
_space_group_IT_number 1
_space_group_name_Hall 'P 1'
_cell_length_a 9.309
_cell_length_b 9.309
_cell_length_c 9.309
_cell_angle_alpha 103.87
_cell_angle_beta 103.87
_cell_angle_gamma 103.87
loop_
_atom_site_label
_atom_site_type_symbol
_atom_site_fract_x
_atom_site_fract_y
_atom_site_fract_z
Ge1 Ge 0.700 0.252 0.252
Ge2 Ge 0.300 0.748 0.748
Ge3 Ge 0.252 0.700 0.252
Ge4 Ge 0.748 0.748 0.300
Ge5 Ge 0.252 0.252 0.700
Ge6 Ge 0.748 0.300 0.748
Ac1 Ac 0.122 0.878 0.500
Ac2 Ac 0.173 0.439 0.439
Ac3 Ac 0.878 0.500 0.122
Ac4 Ac 0.500 0.122 0.878
Ac5 Ac 0.439 0.173 0.439
Ac6 Ac 0.878 0.122 0.500
Ac7 Ac 0.561 0.827 0.561
Ac8 Ac 0.439 0.439 0.173
Ac9 Ac 0.122 0.500 0.878
Ac10 Ac 0.500 0.878 0.122
Ac11 Ac 0.561 0.561 0.827
Ac12 Ac 0.827 0.561 0.561
La1 La 0.000 0.000 0.000
```


First-principles (PBE) data for DySc4S5 after structural relaxation, as listed in Alexandria.

Output
final energy = -6.94 eV per atom
crystal system = orthorhombic

CIF file:
```
data_DySc4S5
_space_group_name_H-M_alt 'P 1'
_space_group_IT_number 1
_space_group_name_Hall 'P 1'
_cell_length_a 3.732
_cell_length_b 5.292
_cell_length_c 9.901
_cell_angle_alpha 105.50
_cell_angle_beta 100.86
_cell_angle_gamma 90.00
loop_
_atom_site_label
_atom_site_type_symbol
_atom_site_fract_x
_atom_site_fract_y
_atom_site_fract_z
Sc1 Sc 0.203 0.203 0.406
Sc2 Sc 0.601 0.601 0.201
Sc3 Sc 0.399 0.399 0.799
Sc4 Sc 0.797 0.797 0.594
Dy1 Dy 0.000 0.000 0.000
S1 S 0.199 0.699 0.398
S2 S 0.000 0.500 0.000
S3 S 0.801 0.301 0.602
S4 S 0.606 0.106 0.212
S5 S 0.394 0.894 0.788
```


First-principles (PBE) data for Be2NiCl after structural relaxation, as listed in Alexandria.

Output
final energy = -3.63 eV per atom
polymorph energy (0 for the lowest one) = 0.273 eV/atom
crystal system = trigonal

CIF file:
```
data_Be2NiCl
_space_group_name_H-M_alt 'P 1'
_space_group_IT_number 1
_space_group_name_Hall 'P 1'
_cell_length_a 6.822
_cell_length_b 6.822
_cell_length_c 6.822
_cell_angle_alpha 24.30
_cell_angle_beta 24.30
_cell_angle_gamma 24.30
loop_
_atom_site_label
_atom_site_type_symbol
_atom_site_fract_x
_atom_site_fract_y
_atom_site_fract_z
Be1 Be 0.495 0.495 0.495
Be2 Be 0.005 0.005 0.005
Ni1 Ni 0.750 0.750 0.750
Cl1 Cl 0.250 0.250 0.250
```


First-principles (PBE) data for CdReRu2 after structural relaxation, as listed in Alexandria.

Output
final energy = -7.52 eV per atom
crystal system = orthorhombic

CIF file:
```
data_CdReRu2
_space_group_name_H-M_alt 'P 1'
_space_group_IT_number 1
_space_group_name_Hall 'P 1'
_cell_length_a 4.775
_cell_length_b 4.775
_cell_length_c 2.813
_cell_angle_alpha 90.00
_cell_angle_beta 90.00
_cell_angle_gamma 105.88
loop_
_atom_site_label
_atom_site_type_symbol
_atom_site_fract_x
_atom_site_fract_y
_atom_site_fract_z
Cd1 Cd 0.500 0.000 0.500
Re1 Re 0.000 0.500 0.500
Ru1 Ru 0.000 0.000 0.000
Ru2 Ru 0.500 0.500 0.000
```


First-principles (PBE) data for CdSF2 after structural relaxation, as listed in Alexandria.

Output
final energy = -3.05 eV per atom
polymorph energy (0 for the lowest one) = 0.119 eV/atom
crystal system = trigonal

CIF file:
```
data_CdSF2
_space_group_name_H-M_alt 'P 1'
_space_group_IT_number 1
_space_group_name_Hall 'P 1'
_cell_length_a 8.453
_cell_length_b 8.453
_cell_length_c 8.453
_cell_angle_alpha 20.13
_cell_angle_beta 20.13
_cell_angle_gamma 20.13
loop_
_atom_site_label
_atom_site_type_symbol
_atom_site_fract_x
_atom_site_fract_y
_atom_site_fract_z
F1 F 0.928 0.928 0.928
F2 F 0.072 0.072 0.072
S1 S 0.000 0.000 0.000
Cd1 Cd 0.500 0.500 0.500
```


First-principles (PBE) data for KTi2P2N6 after structural relaxation, as listed in Alexandria.

Output
final energy = -7.68 eV per atom
crystal system = monoclinic

CIF file:
```
data_KTi2P2N6
_space_group_name_H-M_alt 'P 1'
_space_group_IT_number 1
_space_group_name_Hall 'P 1'
_cell_length_a 5.555
_cell_length_b 6.071
_cell_length_c 6.028
_cell_angle_alpha 120.51
_cell_angle_beta 90.02
_cell_angle_gamma 62.79
loop_
_atom_site_label
_atom_site_type_symbol
_atom_site_fract_x
_atom_site_fract_y
_atom_site_fract_z
N1 N 0.582 0.384 0.138
N2 N 0.034 0.384 0.139
N3 N 0.071 0.860 0.601
N4 N 0.929 0.140 0.399
N5 N 0.966 0.616 0.861
N6 N 0.418 0.616 0.862
K1 K 0.500 0.000 0.500
P1 P 0.887 0.226 0.184
P2 P 0.113 0.774 0.816
Ti1 Ti 0.185 0.631 0.196
Ti2 Ti 0.815 0.369 0.804
```


First-principles (PBE) data for USnRu after structural relaxation, as listed in Alexandria.

Output
final energy = -8.45 eV per atom
crystal system = hexagonal

CIF file:
```
data_USnRu
_space_group_name_H-M_alt 'P 1'
_space_group_IT_number 1
_space_group_name_Hall 'P 1'
_cell_length_a 7.321
_cell_length_b 7.321
_cell_length_c 4.016
_cell_angle_alpha 90.00
_cell_angle_beta 90.00
_cell_angle_gamma 120.00
loop_
_atom_site_label
_atom_site_type_symbol
_atom_site_fract_x
_atom_site_fract_y
_atom_site_fract_z
Sn1 Sn 0.000 0.747 0.000
Sn2 Sn 0.747 0.000 0.000
Sn3 Sn 0.253 0.253 0.000
U1 U 0.585 0.585 0.500
U2 U 0.000 0.415 0.500
U3 U 0.415 0.000 0.500
Ru1 Ru 0.333 0.667 0.000
Ru2 Ru 0.000 0.000 0.500
Ru3 Ru 0.667 0.333 0.000
```


First-principles (PBE) data for LaTc3 after structural relaxation, as listed in Alexandria.

Output
final energy = -8.46 eV per atom
crystal system = trigonal

CIF file:
```
data_LaTc3
_space_group_name_H-M_alt 'P 1'
_space_group_IT_number 1
_space_group_name_Hall 'P 1'
_cell_length_a 2.874
_cell_length_b 5.401
_cell_length_c 5.401
_cell_angle_alpha 63.08
_cell_angle_beta 79.78
_cell_angle_gamma 100.22
loop_
_atom_site_label
_atom_site_type_symbol
_atom_site_fract_x
_atom_site_fract_y
_atom_site_fract_z
Tc1 Tc 0.500 0.500 0.000
Tc2 Tc 0.500 0.000 0.500
Tc3 Tc 0.000 0.500 0.500
La1 La 0.000 0.000 0.000
```